Run P
First-principles (GGA-PBE) data for an optimized crystal structure of Pm13Ho2, as listed in Alexandria via LeMat-Bulk.

Output
total magnetization: 0.000 μB per cell
space-group type: P-1

a = 6.7450 Å, b = 9.1100 Å, c = 9.1123 Å
α = 66.30°, β = 82.23°, γ = 82.17°
Positions (direct):
Pm  0.0000  0.0000  0.0000
Pm  0.1021  0.4350  0.7662
Pm  0.1949  0.1949  0.2071
Pm  0.2985  0.6287  0.9727
Pm  0.3046  0.9615  0.6380
Pm  0.3965  0.3979  0.4048
Pm  0.4988  0.1683  0.8346
Pm  0.5012  0.8317  0.1654
Pm  0.6035  0.6021  0.5952
Pm  0.6954  0.0385  0.3620
Pm  0.7015  0.3713  0.0273
Pm  0.8051  0.8051  0.7929
Pm  0.8979  0.5650  0.2338
Ho  0.0983  0.7682  0.4311
Ho  0.9017  0.2318  0.5689



Run Q
First-principles (GGA-PBE) data for an optimized crystal structure of Pm13Ho2, as listed in Alexandria via LeMat-Bulk.

Output
total magnetization: 0.000 μB per cell
space-group type: R-3m

a = 12.4288 Å, b = 12.4288 Å, c = 12.4288 Å
α = 33.52°, β = 33.52°, γ = 33.52°
Positions (direct):
Pm  0.0000  0.0000  0.0000
Pm  0.0424  0.5464  0.5464
Pm  0.2073  0.7106  0.7106
Pm  0.2894  0.2894  0.7927
Pm  0.2894  0.7927  0.2894
Pm  0.4536  0.4536  0.9576
Pm  0.4536  0.9576  0.4536
Pm  0.5464  0.0424  0.5464
Pm  0.5464  0.5464  0.0424
Pm  0.7106  0.2073  0.7106
Pm  0.7106  0.7106  0.2073
Pm  0.7927  0.2894  0.2894
Pm  0.9576  0.4536  0.4536
Ho  0.2062  0.2062  0.2062
Ho  0.7938  0.7938  0.7938



Result of the stability comparison: run Q is the least stable of them.



Run P
First-principles (GGA-PBE) data for an optimized crystal structure of PmHo5, as listed in Alexandria via LeMat-Bulk.

Output
total magnetization: 0.000 μB per cell
space-group type: Cmmm

a = 7.9236 Å, b = 7.9236 Å, c = 5.0145 Å
α = 90.00°, β = 90.00°, γ = 143.14°
Positions (direct):
Pm  0.0000  0.0000  0.0000
Ho  0.1672  0.8328  0.5000
Ho  0.3323  0.6677  0.0000
Ho  0.5000  0.5000  0.5000
Ho  0.6677  0.3323  0.0000
Ho  0.8328  0.1672  0.5000



Run Q
First-principles (GGA-PBE) data for an optimized crystal structure of PmHo5, as listed in Alexandria via LeMat-Bulk.

Output
total magnetization: 0.000 μB per cell
space-group type: Amm2

a = 9.5583 Å, b = 6.0858 Å, c = 6.0858 Å
α = 33.22°, β = 90.00°, γ = 90.00°
Positions (direct):
Pm  0.0000  0.0000  0.0000
Ho  0.1807  0.2756  0.2756
Ho  0.3246  0.5408  0.5408
Ho  0.5000  0.8185  0.8185
Ho  0.6754  0.5408  0.5408
Ho  0.8193  0.2756  0.2756



Result of the stability comparison: run Q is the least stable of them.



Run P
First-principles (GGA-PBE) data for an optimized crystal structure of Pm6PrHo2, as listed in Alexandria via LeMat-Bulk.

Output
total magnetization: 0.000 μB per cell
space-group type: P-1

a = 3.6358 Å, b = 8.8894 Å, c = 9.6002 Å
α = 90.34°, β = 100.91°, γ = 90.09°
Positions (direct):
Pm  0.1098  0.1643  0.2196
Pm  0.2211  0.8350  0.4422
Pm  0.3329  0.5008  0.6664
Pm  0.6671  0.4992  0.3336
Pm  0.7789  0.1650  0.5578
Pm  0.8902  0.8357  0.7804
Pr  0.0000  0.5000  0.0000
Ho  0.4447  0.1654  0.8893
Ho  0.5553  0.8346  0.1107



Run Q
First-principles (GGA-PBE) data for an optimized crystal structure of Pm6PrHo2, as listed in Alexandria via LeMat-Bulk.

Output
total magnetization: 1.005 μB per cell
space-group type: C2/m

a = 7.6095 Å, b = 7.6095 Å, c = 6.1575 Å
α = 90.00°, β = 90.00°, γ = 60.01°
Positions (direct):
Pm  0.1226  0.6881  0.7108
Pm  0.3122  0.3122  0.2863
Pm  0.3119  0.8774  0.2892
Pm  0.6881  0.1226  0.7108
Pm  0.6878  0.6878  0.7137
Pm  0.8774  0.3119  0.2892
Pr  0.5000  0.5000  0.0000
Ho  0.1665  0.1665  0.7808
Ho  0.8335  0.8335  0.2192



Result of the stability comparison: run Q is the least stable of them.



Run P
First-principles (GGA-PBE) data for an optimized crystal structure of Pm3PrHo7, as listed in Alexandria via LeMat-Bulk.

Output
total magnetization: 0.000 μB per cell
space-group type: P-1

a = 5.5423 Å, b = 6.9784 Å, c = 10.0116 Å
α = 70.04°, β = 89.98°, γ = 89.95°
Positions (direct):
Pm  0.0000  0.0000  0.0000
Pm  0.4995  0.7824  0.5017
Pm  0.5005  0.2176  0.4983
Pr  0.0000  0.5000  0.0000
Ho  0.0000  0.0803  0.3304
Ho  0.0000  0.5000  0.5000
Ho  0.0000  0.9197  0.6696
Ho  0.5000  0.1792  0.1400
Ho  0.5002  0.3535  0.7884
Ho  0.4998  0.6465  0.2116
Ho  0.5000  0.8208  0.8600



Run Q
First-principles (GGA-PBE) data for an optimized crystal structure of Pm3PrHo7, as listed in Alexandria via LeMat-Bulk.

Output
total magnetization: 0.000 μB per cell
space-group type: P3m1

a = 7.0718 Å, b = 7.0718 Å, c = 8.6933 Å
α = 90.00°, β = 90.00°, γ = 120.00°
Positions (direct):
Pm  0.1672  0.3343  0.0000
Pm  0.1672  0.8328  0.0000
Pm  0.6657  0.8328  0.0000
Pr  0.0000  0.0000  0.6609
Ho  0.0019  0.5010  0.6606
Ho  0.3326  0.1663  0.3344
Ho  0.3333  0.6667  0.3371
Ho  0.4990  0.5010  0.6606
Ho  0.4990  0.9981  0.6606
Ho  0.8337  0.1663  0.3344
Ho  0.8337  0.6674  0.3344



Result of the stability comparison: run Q is the least stable of them.